Computed, not measured: a relaxed structure of Na3Tm2TeS6 at the PBE level of DFT.

abc: 6.8284 12.1774 7.0128
angles: 90.00 108.54 90.00
Closest atoms and distances in Å follow each position.
Space group C2/m (No. 12)
Inequivalent atoms, fractional coordinates:
Na1 0.0000 0.0000 0.0000 [2 per cell]  6 S 2.95-2.99
Na2 0.0000 0.3398 0.0000 [4 per cell]  6 S 2.89-2.95
Tm1 0.0000 0.1699 0.5000 [4 per cell]  6 S 2.70-2.77
Te1 0.0000 0.5000 0.5000 [2 per cell]  6 S 2.68-2.90
S1 0.2387 0.0000 0.7158 [4 per cell]  1 Te 2.68, 2 Tm 2.77, 3 Na 2.95
S2 0.2486 0.1757 0.2682 [8 per cell]  2 Tm 2.70-2.71, 3 Na 2.89-2.99, 1 Te 2.90

DOS at the Fermi energy, states/eV/atom: 0.3855
Mass density, g/cm3: 4.366
VASP energy, hartree per atom: -0.172